Record 1
## CdCoPd (PBE)

Data for CdCoPd after structural relaxation.

Values from the calculation:
SG: F-43m, No. 216
ΔE to the lowest computed polymorph in meV per atom: 0
Energy of formation in eV per atom: 0.3431

abc: 4.2147 4.2147 4.2147
angles: 60.00 60.00 60.00
Closest atoms and distances in Å follow each position.
Element x y z (fractional)
Cd  0.2500  0.2500  0.2500  4 Co 2.58
Co  0.0000  0.0000  0.0000  4 Cd 2.58, 4 Pd 2.58
Pd  0.7500  0.7500  0.7500  4 Co 2.58

Record 2
## CdCo2Pd (PBE)

Data for CdCo2Pd after structural relaxation.

Values from the calculation:
SG: F-43m, No. 216
Energy of formation in eV per atom: 0.2195

abc: 4.3388 4.3388 4.3388
angles: 60.00 60.00 60.00
Closest atoms and distances in Å follow each position.
Element x y z (fractional)
Cd  0.7500  0.7500  0.7500  4 Pd 2.66, 4 Co 2.66
Co  0.2500  0.2500  0.2500  4 Co 2.66, 4 Pd 2.66
Co  0.5000  0.5000  0.5000  4 Co 2.66, 4 Cd 2.66
Pd  0.0000  0.0000  0.0000  4 Cd 2.66, 4 Co 2.66